# 1
Ba3LiRh | GGA-PBE | optimized geometry

The formation energy comes out at -0.086 eV per atom. The calculation puts the spin magnetization at 0.00 μB/cell. The calculation puts the energy above the most stable polymorph in this dataset at 1.6 kJ/mol of atoms. Its energy is -0.2273 Ry/atom. The crystal system is cubic.

The structure belongs to space group Pm-3m (No. 221); the cell edges are 6.129, 6.129 and 6.129 Å and the angles 90.00°, 90.00° and 90.00°. The asymmetric unit holds Ba at (0.000, 0.000, 0.500), Li at (0.500, 0.500, 0.500) and Rh at (0.000, 0.000, 0.000).



# 2
BaLiRh4 | GGA-PBE | optimized geometry

The formation energy comes out at 0.072 eV per atom. The calculation puts the spin magnetization at 0.02 μB/cell. Its energy is -0.4019 Ry/atom. The crystal system is cubic.

The structure belongs to space group F-43m (No. 216); the cell edges are 7.662, 7.662 and 7.662 Å and the angles 90.00°, 90.00° and 90.00°. The asymmetric unit holds Ba at (0.000, 0.000, 0.000), Li at (0.250, 0.250, 0.750) and Rh at (0.124, 0.124, 0.376).



spin magnetization of number 1 (Ba3LiRh)?
0.00 μB/cell



Number 1 is which compound?
Ba3LiRh